DFT (PBE) results for an optimized crystal structure of Ca2TeP2.

abc: 7.7051 7.7051 4.0001
angles: 90.00 90.00 90.00
Positions (direct):
P 0.3394 0.8394 0.0000
P 0.8394 0.6606 0.0000
P 0.6606 0.1606 0.0000
P 0.1606 0.3394 0.0000
Ca 0.1504 0.6504 0.5000
Ca 0.6504 0.8496 0.5000
Ca 0.8496 0.3496 0.5000
Ca 0.3496 0.1504 0.5000
Te 0.0000 0.0000 0.0000
Te 0.5000 0.5000 0.0000

## Properties
ΔE to the lowest computed polymorph: 174 meV per atom

DFT (PBE) results for an optimized crystal structure of Nd2SmScS4.

abc: 3.9175 6.8595 6.9485
angles: 108.83 90.00 90.00
Positions (direct):
Nd 0.5000 0.0000 0.5000
Nd 0.0000 0.5000 0.5000
Sm 0.5000 0.5000 0.0000
Sc 0.0000 0.0000 0.0000
S 0.5000 0.2305 0.2271
S 0.5000 0.7695 0.7729
S 0.0000 0.2429 0.7645
S 0.0000 0.7571 0.2355

no.,E_form (uncorrected) (eV/atom)
1,-0.75
2,-1.96